Here is crystalline Pu3MgIr3 at its relaxed geometry from Alexandria. Energies are from PBE-GGA.

Output
Its total energy is -146.3 eV for the cell shown. The calculation puts the calculated volume at 21.68 Å³ per atom.

a = 6.6622 Å, b = 6.6622 Å, c = 6.9817 Å
α = 89.86°, β = 89.86°, γ = 101.61°
Element x y z (fractional)
Pu  0.6415  0.6415  0.3805
Pu  0.1716  0.8284  0.5000
Pu  0.8284  0.1716  0.5000
Pu  0.2424  0.7576  0.0000
Pu  0.7576  0.2424  0.0000
Pu  0.3585  0.3585  0.6195
Mg  0.7417  0.7417  0.8727
Mg  0.2583  0.2583  0.1273
Ir  0.9283  0.9283  0.1950
Ir  0.9811  0.5033  0.7199
Ir  0.5033  0.9811  0.7199
Ir  0.0189  0.4967  0.2801
Ir  0.4967  0.0189  0.2801
Ir  0.0717  0.0717  0.8050